PmPr2Y5 (PBE, optimized geometry); energy relative to the lowest polymorph listed for this composition = 134 meV per atom; space group = No. 15
1.0
-4.050 -8.997 1.784
1.912 -2.050 -5.996
7.496 3.626 7.128
Pm Pr Y
2 4 10
Direct
0.000 0.000 0.500
0.500 0.500 0.500
0.174 0.460 0.843
0.668 0.960 0.843
0.826 0.540 0.157
0.332 0.040 0.157
0.488 0.447 0.801
0.939 0.750 0.000
0.061 0.250 0.000
0.891 0.631 0.605
0.109 0.369 0.395
0.713 0.131 0.605
0.287 0.869 0.395
0.512 0.553 0.199
0.313 0.947 0.801
0.687 0.053 0.199

Pm3Pr8Y2 (PBE, optimized geometry); energy relative to the lowest polymorph listed for this composition = 49 meV per atom; space group = No. 65
1.0
-0.365 5.016 3.024
-7.700 -0.925 0.606
5.180 -4.771 8.538
Pm Pr Y
3 8 2
Direct
0.500 0.000 0.000
0.000 0.286 0.000
0.000 0.714 0.000
0.000 0.673 0.347
0.000 0.327 0.653
0.000 0.134 0.267
0.000 0.866 0.733
0.500 0.601 0.787
0.500 0.186 0.787
0.500 0.814 0.213
0.500 0.399 0.213
0.500 0.241 0.482
0.500 0.759 0.518

PmPr2Y2 (PBE, optimized geometry); energy relative to the lowest polymorph listed for this composition = 0 meV per atom; space group = No. 2
1.0
0.433 2.846 2.263
-0.472 -0.430 3.606
12.922 -6.235 8.357
Pm Pr Y
1 2 2
Direct
0.500 0.500 0.500
0.238 0.420 0.105
0.762 0.580 0.895
0.298 0.711 0.696
0.702 0.289 0.304

Pm7PrY4 (PBE, optimized geometry); energy relative to the lowest polymorph listed for this composition = 237 meV per atom; space group = No. 12
1.0
-1.026 -4.382 4.050
7.768 1.915 8.564
-4.522 1.379 4.872
Pm Pr Y
7 1 4
Direct
0.790 0.920 0.499
0.210 0.080 0.501
0.060 0.672 0.207
0.940 0.328 0.793
0.370 0.502 0.758
0.500 0.000 0.000
0.630 0.498 0.242
0.000 0.000 0.000
0.636 0.225 0.504
0.364 0.775 0.496
0.750 0.683 0.817
0.250 0.317 0.183

Pm6PrY5 (PBE, optimized geometry); energy relative to the lowest polymorph listed for this composition = 0 meV per atom; space group = No. 12
1.0
11.818 -1.843 0.000
2.042 5.942 0.000
1.021 2.971 5.443
Pm Pr Y
6 1 5
Direct
0.748 0.083 0.334
0.252 0.583 0.334
0.251 0.250 0.000
0.749 0.750 0.000
0.748 0.417 0.666
0.252 0.917 0.666
0.000 0.000 0.000
0.500 0.167 0.666
0.000 0.333 0.333
0.500 0.500 0.000
0.000 0.667 0.667
0.500 0.833 0.334

PmPr4Y5 (PBE, optimized geometry); energy relative to the lowest polymorph listed for this composition = 0 meV per atom; space group = No. 123
1.0
-1.680 -3.067 1.056
2.753 -0.719 2.291
-11.961 12.891 18.420
Pm Pr Y
1 4 5
Direct
0.000 0.000 0.000
0.000 0.000 0.199
0.000 0.000 0.400
0.000 0.000 0.600
0.000 0.000 0.801
0.500 0.500 0.099
0.500 0.500 0.300
0.500 0.500 0.500
0.500 0.500 0.700
0.500 0.500 0.901

Pm2PrY (PBE, optimized geometry); energy relative to the lowest polymorph listed for this composition = 33 meV per atom; space group = No. 38
1.0
-3.292 1.234 0.785
-0.720 -4.261 3.679
4.244 3.188 4.523
Pm Pr Y
2 1 1
Direct
0.061 0.500 0.123
0.186 0.000 0.372
0.805 0.500 0.610
0.448 0.000 0.896

Pm5Pr4Y2 (PBE, optimized geometry); energy relative to the lowest polymorph listed for this composition = 0 meV per atom; space group = No. 12
1.0
3.489 0.000 -0.851
-0.411 8.700 -1.683
1.139 1.467 12.245
Pm Pr Y
5 4 2
Direct
0.815 0.526 0.631
0.185 0.474 0.369
0.870 0.953 0.739
0.500 0.000 0.000
0.130 0.047 0.261
0.274 0.174 0.548
0.959 0.654 0.918
0.726 0.826 0.452
0.041 0.346 0.082
0.413 0.302 0.825
0.587 0.698 0.175

Pm3Pr2Y2 (PBE, optimized geometry); energy relative to the lowest polymorph listed for this composition = 87 meV per atom; space group = No. 12
1.0
3.554 0.000 0.000
0.000 8.797 -0.705
-1.777 -3.690 8.073
Pm Pr Y
3 2 2
Direct
0.000 0.500 0.000
0.213 0.806 0.426
0.787 0.194 0.574
0.854 0.675 0.708
0.146 0.325 0.292
0.564 0.905 0.129
0.436 0.095 0.871

Pm5PrY12 (PBE, optimized geometry); space group = No. 10
1.0
15.252 -0.007 0.001
7.621 7.644 -0.001
0.000 0.001 5.098
Pm Pr Y
5 1 12
Direct
0.500 0.000 0.500
0.167 0.665 0.500
0.833 0.335 0.500
0.667 0.667 0.000
0.333 0.333 0.000
0.000 0.000 0.000
0.832 0.000 0.500
0.168 0.000 0.500
0.667 0.000 0.000
0.333 0.000 0.000
0.334 0.666 0.000
0.000 0.666 0.000
0.000 0.334 0.000
0.666 0.334 0.000
0.500 0.333 0.500
0.833 0.667 0.500
0.167 0.333 0.500
0.500 0.667 0.500

Pm4PrY15 (PBE, optimized geometry); space group = No. 123
1.0
-0.934 -1.837 4.653
4.095 -3.000 -0.363
14.316 18.320 10.105
Pm Pr Y
4 1 15
Direct
0.000 0.000 0.201
0.000 0.000 0.400
0.000 0.000 0.600
0.000 0.000 0.799
0.000 0.000 0.000
0.500 0.500 0.000
0.500 0.500 0.201
0.500 0.500 0.400
0.500 0.500 0.600
0.500 0.500 0.799
0.500 0.000 0.101
0.500 0.000 0.301
0.500 0.000 0.500
0.500 0.000 0.699
0.500 0.000 0.899
0.000 0.500 0.101
0.000 0.500 0.301
0.000 0.500 0.500
0.000 0.500 0.699
0.000 0.500 0.899

Pm4Pr2Y (PBE, optimized geometry); energy relative to the lowest polymorph listed for this composition = 186 meV per atom; space group = No. 64
1.0
3.803 0.000 0.000
0.000 14.093 0.000
0.000 0.000 18.915
Pm Pr Y
16 8 4
Direct
0.000 0.688 0.553
0.500 0.812 0.447
0.000 0.188 0.947
0.500 0.312 0.053
0.000 0.312 0.447
0.500 0.188 0.553
0.000 0.812 0.053
0.500 0.688 0.947
0.000 0.084 0.678
0.500 0.416 0.322
0.000 0.584 0.822
0.500 0.916 0.178
0.000 0.916 0.322
0.500 0.584 0.678
0.000 0.416 0.178
0.500 0.084 0.822
0.000 0.871 0.847
0.500 0.629 0.153
0.000 0.371 0.653
0.500 0.129 0.347
0.000 0.129 0.153
0.500 0.371 0.847
0.000 0.629 0.347
0.500 0.871 0.653
0.000 0.000 0.500
0.500 0.500 0.500
0.000 0.500 0.000
0.500 0.000 0.000

| no. | DFT formation energy (eV per atom) |
| --- | --- |
| 1 | 0.15 |
| 2 | 0.20 |
| 3 | 0.00 |
| 4 | 0.24 |
| 5 | 0.01 |
| 6 | 0.01 |
| 7 | 0.04 |
| 8 | 0.10 |
| 9 | 0.10 |
| 10 | 0.02 |
| 11 | 0.02 |
| 12 | 0.20 |